Below is a relaxed structure of LiMg16Al12, with properties calculated at the PBE level.

Computed properties:
The formation energy is -0.99 eV/f.u. For the energy above the most stable polymorph in this dataset, the calculation gives 4 meV/atom. As for the space group: No. 217.

Unit cell a=9.111 b=9.111 c=9.111 alpha=109.47 beta=109.47 gamma=109.47
Atoms (fractional coordinates):
Li  0.000  0.000  0.000
Mg  0.000  0.000  0.661
Mg  0.000  0.400  0.685
Mg  0.000  0.661  0.000
Mg  0.000  0.685  0.400
Mg  0.285  0.600  0.600
Mg  0.315  0.315  0.715
Mg  0.315  0.715  0.315
Mg  0.339  0.339  0.339
Mg  0.400  0.000  0.685
Mg  0.400  0.685  0.000
Mg  0.600  0.285  0.600
Mg  0.600  0.600  0.285
Mg  0.661  0.000  0.000
Mg  0.685  0.000  0.400
Mg  0.685  0.400  0.000
Mg  0.715  0.315  0.315
Al  0.000  0.186  0.368
Al  0.000  0.368  0.186
Al  0.182  0.814  0.814
Al  0.186  0.000  0.368
Al  0.186  0.368  0.000
Al  0.368  0.000  0.186
Al  0.368  0.186  0.000
Al  0.632  0.632  0.818
Al  0.632  0.818  0.632
Al  0.814  0.182  0.814
Al  0.814  0.814  0.182
Al  0.818  0.632  0.632

---

Below is a relaxed structure of CsTlI, with properties calculated at the PBE level.

Computed properties:
As for the space group: No. 71. The calculation puts the formation energy from raw total energies at -762 meV per atom.

Unit cell a=11.260 b=11.260 c=11.260 alpha=155.24 beta=147.79 gamma=41.05
Atoms (fractional coordinates):
Cs  0.156  0.156  0.000
Cs  0.844  0.844  0.000
Tl  0.260  0.500  0.760
Tl  0.740  0.500  0.240
I  0.339  0.339  0.000
I  0.661  0.661  0.000

---

Below is a relaxed structure of CeEr2RuN4, with properties calculated at the PBE level.

Computed properties:
As for the space group: No. 63. The calculation puts the formation energy from raw total energies at -1106 meV per atom.

Unit cell a=6.028 b=6.028 c=11.437 alpha=90.00 beta=90.00 gamma=147.42
Atoms (fractional coordinates):
Ce  0.116  0.884  0.750
Ce  0.884  0.116  0.250
Er  0.370  0.630  0.546
Er  0.370  0.630  0.954
Er  0.630  0.370  0.046
Er  0.630  0.370  0.454
Ru  0.143  0.857  0.250
Ru  0.857  0.143  0.750
N  0.000  0.000  0.000
N  0.000  0.000  0.500
N  0.271  0.729  0.129
N  0.271  0.729  0.371
N  0.456  0.544  0.750
N  0.544  0.456  0.250
N  0.729  0.271  0.629
N  0.729  0.271  0.871

---

Below is a relaxed structure of CrCdRe2, with properties calculated at the PBE level.

Computed properties:
The formation energy is 2.56 eV/f.u. As for the space group: No. 123.

Unit cell a=3.830 b=3.830 c=4.247 alpha=90.00 beta=90.00 gamma=90.00
Atoms (fractional coordinates):
Cr  0.000  0.000  0.000
Cd  0.500  0.500  0.000
Re  0.000  0.500  0.500
Re  0.500  0.000  0.500

---

Below is a relaxed structure of V3BiBr, with properties calculated at the PBE level.

Computed properties:
For the energy above the most stable polymorph in this dataset, the calculation gives 382 meV/atom. As for the space group: No. 221. The calculation puts the formation energy from raw total energies at 1329 meV per atom.

Unit cell a=5.364 b=5.364 c=5.364 alpha=90.00 beta=90.00 gamma=90.00
Atoms (fractional coordinates):
V  0.000  0.000  0.500
V  0.000  0.500  0.000
V  0.500  0.000  0.000
Bi  0.000  0.000  0.000
Br  0.500  0.500  0.500

---

Below is a relaxed structure of Nb2TeSe2, with properties calculated at the PBE level.

Computed properties:
As for the space group: No. 166. The calculation puts the formation energy from raw total energies at -475 meV per atom.

Unit cell a=10.843 b=10.843 c=10.843 alpha=18.26 beta=18.26 gamma=18.26
Atoms (fractional coordinates):
Nb  0.099  0.099  0.099
Nb  0.901  0.901  0.901
Te  0.500  0.500  0.500
Se  0.286  0.286  0.286
Se  0.714  0.714  0.714

---

| no. | uncorrected energy (Ha/atom) | spin magnetization (μB/f.u.) |
| --- | --- | --- |
| 1 | -0.0929 | 0.00 |
| 2 | -0.0864 | 0.00 |
| 3 | -0.3054 | 0.00 |
| 4 | -0.3021 | 2.06 |
| 5 | -0.1930 | 10.99 |
| 6 | -0.2398 | 0.00 |